## NaMgScHg (GGA-PBE)

Data for a relaxed NaMgScHg crystal.

Cell lengths 4.9625, 4.9625, 4.9625 Å; angles 60.00, 60.00, 60.00 degrees
Fractional coordinates of all 4 atoms:
Sc 0.2500 0.2500 0.2500
Na 0.0000 0.0000 0.0000
Mg 0.7500 0.7500 0.7500
Hg 0.5000 0.5000 0.5000

## Properties
Mass density ... 5.63 g cm⁻³
N(E_F) ... 2.083 states/eV/cell
Magnetic moment ... 0.00 μB/f.u.
Formation enthalpy at 0 K ... -0.42 eV per formula unit